Entry 1:
The following is a DFT calculation (GGA-PBE) of a geometry-optimized GdTm3 structure.

Geometry as POSCAR:
```
GdTm3
1.0
0.000 3.959 3.959
3.959 0.000 3.959
3.959 3.959 0.000
Gd Tm
1 3
direct
0.000 0.000 0.000
0.250 0.250 0.250
0.500 0.500 0.500
0.750 0.750 0.750
```

Calculated values
E_tot ... -6.75 eV per atom


Entry 2:
The following is a DFT calculation (GGA-PBE) of a geometry-optimized AcPr2Pt structure.

Geometry as POSCAR:
```
AcPr2Pt
1.0
2.082 1.202 9.640
-2.082 1.202 9.640
0.000 -2.404 9.640
Ac Pr Pt
1 2 1
direct
0.000 0.000 0.000
0.555 0.555 0.555
0.774 0.774 0.774
0.164 0.164 0.164
```

Calculated values
E_tot ... -5.42 eV per atom


Entry 3:
The following is a DFT calculation (GGA-PBE) of a geometry-optimized CeGaCo3 structure.

Geometry as POSCAR:
```
CeGaCo3
1.0
-2.452 3.937 4.090
2.452 -3.937 4.090
2.452 3.937 -4.090
Ce Ga Co
2 2 6
direct
0.305 0.055 0.250
0.695 0.945 0.750
0.000 0.500 0.500
0.500 0.500 0.000
0.055 0.305 0.750
0.252 0.000 0.752
0.252 0.500 0.252
0.748 0.000 0.248
0.748 0.500 0.748
0.945 0.695 0.250
```

Calculated values
E_tot ... -6.24 eV per atom


Entry 4:
The following is a DFT calculation (GGA-PBE) of a geometry-optimized LaTb14Mg structure.

Geometry as POSCAR:
```
LaTb14Mg
1.0
7.092 0.000 0.000
0.000 7.092 0.000
0.000 0.000 10.076
La Tb Mg
1 14 1
direct
0.000 0.000 0.000
0.000 0.000 0.500
0.000 0.500 0.000
0.000 0.500 0.500
0.250 0.250 0.250
0.250 0.250 0.750
0.250 0.750 0.250
0.250 0.750 0.750
0.500 0.000 0.000
0.500 0.000 0.500
0.500 0.500 0.500
0.750 0.250 0.250
0.750 0.250 0.750
0.750 0.750 0.250
0.750 0.750 0.750
0.500 0.500 0.000
```

Calculated values
E_tot ... -4.44 eV per atom


Entry 5:
The following is a DFT calculation (GGA-PBE) of a geometry-optimized MgSb2Te2 structure.

Geometry as POSCAR:
```
MgSb2Te2
1.0
7.828 0.000 0.000
0.000 7.828 0.000
0.000 0.000 4.907
Mg Sb Te
2 4 4
direct
0.000 0.000 0.000
0.500 0.500 0.000
0.139 0.361 0.500
0.361 0.861 0.500
0.639 0.139 0.500
0.861 0.639 0.500
0.182 0.682 0.000
0.318 0.182 0.000
0.682 0.818 0.000
0.818 0.318 0.000
```

Calculated values
Raw formation energy ... 0.0564 eV per atom


Entry 6:
The following is a DFT calculation (GGA-PBE) of a geometry-optimized SrHRu2 structure.

Geometry as POSCAR:
```
SrHRu2
1.0
0.000 4.035 4.035
4.035 0.000 4.035
4.035 4.035 0.000
Sr H Ru
2 2 4
direct
0.125 0.125 0.125
0.875 0.875 0.875
0.375 0.375 0.375
0.625 0.625 0.625
0.000 0.500 0.500
0.500 0.000 0.500
0.500 0.500 0.000
0.500 0.500 0.500
```

Calculated values
E_tot ... -5.65 eV per atom


Entry 7:
The following is a DFT calculation (GGA-PBE) of a geometry-optimized NdTh3S4 structure.

Geometry as POSCAR:
```
NdTh3S4
1.0
5.721 0.000 0.000
0.000 5.721 0.000
0.000 0.000 5.721
Nd Th S
1 3 4
direct
0.000 0.000 0.000
0.000 0.500 0.500
0.500 0.000 0.500
0.500 0.500 0.000
0.000 0.000 0.500
0.000 0.500 0.000
0.500 0.000 0.000
0.500 0.500 0.500
```

Calculated values
Raw formation energy ... -1.8985 eV per atom


Entry 8:
The following is a DFT calculation (GGA-PBE) of a geometry-optimized La2Pr2Nd2Y structure.

Geometry as POSCAR:
```
La2Pr2Nd2Y
1.0
5.835 -2.618 0.000
5.835 2.618 0.000
-1.178 0.000 8.181
La Pr Nd Y
2 2 2 1
direct
0.143 0.143 0.427
0.857 0.857 0.573
0.285 0.285 0.859
0.715 0.715 0.141
0.430 0.430 0.284
0.570 0.570 0.716
0.000 0.000 0.000
```

Calculated values
E_tot ... -5.04 eV per atom